# 1
TaGa | PBE | optimized geometry

Values from the calculation:
* formation energy from the elements: 0.28 eV per atom
* crystal system: tetragonal

Lattice parameters (Å, degrees): 7.3529 7.3529 5.3072 90.00 90.00 90.00
With the nearest neighbours (Å) after each atom.
Fractional positions:
Ga 0.5778 0.2719 0.0000  2 Ga 2.51, 5 Ta 2.63-2.69
Ga 0.2281 0.0778 0.5000  2 Ga 2.51, 5 Ta 2.63-2.69
Ga 0.7281 0.5778 0.0000  2 Ga 2.51, 5 Ta 2.63-2.69
Ga 0.9222 0.2281 0.5000  2 Ga 2.51, 5 Ta 2.63-2.69
Ga 0.7719 0.9222 0.5000  2 Ga 2.51, 5 Ta 2.63-2.69
Ga 0.2719 0.4222 0.0000  2 Ga 2.51, 5 Ta 2.63-2.69
Ga 0.4222 0.7281 0.0000  2 Ga 2.51, 5 Ta 2.63-2.69
Ga 0.0778 0.7719 0.5000  2 Ga 2.51, 5 Ta 2.63-2.69
Ta 0.2870 0.0595 0.0000  5 Ga 2.63-2.69
Ta 0.0595 0.7130 0.0000  5 Ga 2.63-2.69
Ta 0.2130 0.4405 0.5000  5 Ga 2.63-2.69
Ta 0.4405 0.7870 0.5000  5 Ga 2.63-2.69
Ta 0.7870 0.5595 0.5000  5 Ga 2.63-2.69
Ta 0.5595 0.2130 0.5000  5 Ga 2.63-2.69
Ta 0.9405 0.2870 0.0000  5 Ga 2.63-2.69
Ta 0.7130 0.9405 0.0000  5 Ga 2.63-2.69

=====

# 2
K2CdSe | PBE | optimized geometry

Values from the calculation:
* crystal system: orthorhombic
* ΔE to the lowest computed polymorph: 0.184 eV per atom

Lattice parameters (Å, degrees): 4.5431 4.5549 6.7674 90.00 90.00 90.00
With the nearest neighbours (Å) after each atom.
Fractional positions:
K 0.0000 0.0000 0.9550  2 Se 3.26-3.50, 4 Cd 3.47
K 0.5000 0.5000 0.3103  1 Cd 3.06, 4 Se 3.40
Cd 0.5000 0.5000 0.7618  1 K 3.06
Se 0.0000 0.0000 0.4729  6 K 3.26-3.50

=====

# 3
BeFeW2 | PBE | optimized geometry

Values from the calculation:
* formation energy from the elements: 0.12 eV per atom
* crystal system: monoclinic

Lattice parameters (Å, degrees): 4.1186 2.7147 4.6821 80.76 90.00 90.00
With the nearest neighbours (Å) after each atom.
Fractional positions:
Fe 0.5000 0.6280 0.7638  2 Be 2.44, 7 W 2.50-2.72, 2 Fe 2.71
W 0.0000 0.0103 0.9598  3 Be 2.48-2.60, 4 Fe 2.54-2.72, 4 W 2.70-2.71
W 0.5000 0.2174 0.2951  3 Fe 2.50-2.62, 4 Be 2.58-2.64, 4 W 2.70-2.71
Be 0.0000 0.6443 0.4813  2 Fe 2.44, 7 W 2.48-2.64, 2 Be 2.71

=====

# 4
BaTeP | PBE | optimized geometry

Values from the calculation:
* crystal system: cubic
* ΔE to the lowest computed polymorph: 0.485 eV per atom

Lattice parameters (Å, degrees): 5.4031 5.4031 5.4031 60.00 60.00 60.00
With the nearest neighbours (Å) after each atom.
Fractional positions:
P 0.5000 0.5000 0.5000  4 Te 3.31
Te 0.7500 0.7500 0.7500  4 Ba 3.31, 4 P 3.31
Ba 0.0000 0.0000 0.0000  4 Te 3.31

=====

# 5
Rb3Sn5Cl12 | PBE | optimized geometry

Values from the calculation:
* crystal system: cubic

Lattice parameters (Å, degrees): 15.7069 15.7069 15.7069 109.47 109.47 109.47
With the nearest neighbours (Å) after each atom.
Fractional positions:
Sn 0.3750 0.1250 0.7500  4 Cl 2.77
Sn 0.0000 0.5000 0.0000  6 Cl 2.89
Sn 0.5000 0.5000 0.0000  6 Cl 2.89
Sn 0.8750 0.2500 0.6250  4 Cl 2.77
Sn 0.8750 0.6250 0.7500  4 Cl 2.77
Sn 0.3750 0.2500 0.1250  4 Cl 2.77
Sn 0.5000 0.5000 0.5000  6 Cl 2.89
Sn 0.7500 0.1250 0.8750  4 Cl 2.77
Sn 0.1250 0.3750 0.2500  4 Cl 2.77
Sn 0.2500 0.8750 0.1250  4 Cl 2.77
Sn 0.1250 0.7500 0.3750  4 Cl 2.77
Sn 0.6250 0.7500 0.8750  4 Cl 2.77
Sn 0.5000 0.0000 0.5000  6 Cl 2.89
Sn 0.7500 0.6250 0.3750  4 Cl 2.77
Sn 0.6250 0.8750 0.2500  4 Cl 2.77
Sn 0.2500 0.3750 0.6250  4 Cl 2.77
Sn 0.0000 0.0000 0.5000  6 Cl 2.89
Sn 0.0000 0.5000 0.5000  6 Cl 2.89
Sn 0.0000 0.0000 0.0000  6 Cl 2.89
Sn 0.5000 0.0000 0.0000  6 Cl 2.89
Cl 0.6195 0.5911 0.9171  2 Sn 2.77-2.89
Cl 0.9716 0.3805 0.2976  2 Sn 2.77-2.89
Cl 0.9089 0.8260 0.5284  2 Sn 2.77-2.89
Cl 0.9716 0.5911 0.1740  2 Sn 2.77-2.89
Cl 0.8805 0.5829 0.9089  2 Sn 2.77-2.89
Cl 0.5829 0.7024 0.6740  2 Sn 2.77-2.89
Cl 0.4171 0.2976 0.3260  2 Sn 2.77-2.89
Cl 0.3805 0.4089 0.0829  2 Sn 2.77-2.89
Cl 0.0284 0.4089 0.8260  2 Sn 2.77-2.89
Cl 0.7024 0.5829 0.1740  2 Sn 2.77-2.89
Cl 0.3260 0.7976 0.4171  2 Sn 2.77-2.89
Cl 0.9089 0.0829 0.8805  2 Sn 2.77-2.89
Cl 0.8260 0.9089 0.0284  2 Sn 2.77-2.89
Cl 0.8805 0.2976 0.4716  2 Sn 2.77-2.89
Cl 0.7976 0.3260 0.9171  2 Sn 2.77-2.89
Cl 0.2024 0.6740 0.0829  2 Sn 2.77-2.89
Cl 0.0911 0.9171 0.1195  2 Sn 2.77-2.89
Cl 0.4716 0.6740 0.0911  2 Sn 2.77-2.89
Cl 0.7024 0.1195 0.0284  2 Sn 2.77-2.89
Cl 0.5911 0.9716 0.6740  2 Sn 2.77-2.89
Cl 0.0829 0.9089 0.3805  2 Sn 2.77-2.89
Cl 0.0829 0.1740 0.2024  2 Sn 2.77-2.89
Cl 0.4716 0.7976 0.8805  2 Sn 2.77-2.89
Cl 0.1740 0.0911 0.9716  2 Sn 2.77-2.89
Cl 0.1195 0.7024 0.5284  2 Sn 2.77-2.89
Cl 0.9171 0.0911 0.6195  2 Sn 2.77-2.89
Cl 0.3260 0.5284 0.4089  2 Sn 2.77-2.89
Cl 0.5284 0.3260 0.9089  2 Sn 2.77-2.89
Cl 0.4089 0.0284 0.3260  2 Sn 2.77-2.89
Cl 0.0284 0.6195 0.7024  2 Sn 2.77-2.89
Cl 0.9171 0.8260 0.7976  2 Sn 2.77-2.89
Cl 0.0911 0.1740 0.4716  2 Sn 2.77-2.89
Cl 0.1195 0.4171 0.0911  2 Sn 2.77-2.89
Cl 0.7976 0.4716 0.3805  2 Sn 2.77-2.89
Cl 0.2976 0.4171 0.8260  2 Sn 2.77-2.89
Cl 0.8260 0.9171 0.2976  2 Sn 2.77-2.89
Cl 0.3805 0.9716 0.7976  2 Sn 2.77-2.89
Cl 0.5284 0.2024 0.1195  2 Sn 2.77-2.89
Cl 0.1740 0.0829 0.7024  2 Sn 2.77-2.89
Cl 0.6740 0.2024 0.5829  2 Sn 2.77-2.89
Cl 0.5829 0.8805 0.4089  2 Sn 2.77-2.89
Cl 0.2024 0.5284 0.6195  2 Sn 2.77-2.89
Cl 0.4089 0.3805 0.5829  2 Sn 2.77-2.89
Cl 0.4171 0.1195 0.5911  2 Sn 2.77-2.89
Cl 0.2976 0.8805 0.9716  2 Sn 2.77-2.89
Cl 0.6195 0.0284 0.2024  2 Sn 2.77-2.89
Cl 0.6740 0.4716 0.5911  2 Sn 2.77-2.89
Cl 0.5911 0.6195 0.4171  2 Sn 2.77-2.89
Rb 0.2500 0.1250 0.3750  8 Cl 3.49-3.58
Rb 0.7500 0.8750 0.6250  8 Cl 3.49-3.58
Rb 0.8750 0.1250 0.2500  8 Cl 3.49-3.58
Rb 0.7500 0.3750 0.1250  8 Cl 3.49-3.58
Rb 0.3750 0.6250 0.2500  8 Cl 3.49-3.58
Rb 0.2500 0.6250 0.8750  8 Cl 3.49-3.58
Rb 0.6250 0.2500 0.3750  8 Cl 3.49-3.58
Rb 0.3750 0.7500 0.6250  8 Cl 3.49-3.58
Rb 0.1250 0.2500 0.8750  8 Cl 3.49-3.58
Rb 0.1250 0.8750 0.7500  8 Cl 3.49-3.58
Rb 0.6250 0.3750 0.7500  8 Cl 3.49-3.58
Rb 0.8750 0.7500 0.1250  8 Cl 3.49-3.58

=====

# 6
Ho3ErTc | PBE | optimized geometry

Values from the calculation:
* formation energy from the elements: -0.05 eV per atom
* crystal system: orthorhombic
* ΔE to the lowest computed polymorph: 0.000 eV per atom

Lattice parameters (Å, degrees): 3.6791 10.6501 14.0252 90.00 90.00 90.00
With the nearest neighbours (Å) after each atom.
Fractional positions:
Er 0.7500 0.3203 0.4893  2 Tc 2.84
Er 0.7500 0.8203 0.0107  2 Tc 2.84
Er 0.2500 0.1797 0.9893  2 Tc 2.84
Er 0.2500 0.6797 0.5107  2 Tc 2.84
Ho 0.7500 0.0801 0.1837  1 Tc 2.90
Ho 0.2500 0.5479 0.0951  3 Tc 2.99, 1 Ho 3.32
Ho 0.7500 0.1805 0.7565  2 Tc 2.91
Ho 0.7500 0.9521 0.5951  3 Tc 2.99, 1 Ho 3.32
Ho 0.2500 0.9199 0.8163  1 Tc 2.90
Ho 0.7500 0.6805 0.7435  2 Tc 2.91
Ho 0.7500 0.5801 0.3163  1 Tc 2.90
Ho 0.2500 0.8195 0.2435  2 Tc 2.91
Ho 0.7500 0.4521 0.9049  3 Tc 2.99, 1 Ho 3.32
Ho 0.2500 0.4199 0.6837  1 Tc 2.90
Ho 0.2500 0.0479 0.4049  3 Tc 2.99, 1 Ho 3.32
Ho 0.2500 0.3195 0.2565  2 Tc 2.91
Tc 0.2500 0.1732 0.5956  2 Er 2.84, 6 Ho 2.90-2.99
Tc 0.2500 0.6732 0.9044  2 Er 2.84, 6 Ho 2.90-2.99
Tc 0.7500 0.8268 0.4044  2 Er 2.84, 6 Ho 2.90-2.99
Tc 0.7500 0.3268 0.0956  2 Er 2.84, 6 Ho 2.90-2.99

=====

no.,electronic total energy (eV/atom),total magnetization (μB/cell)
1,-7.160,0.0
2,-2.122,0.0
3,-9.409,0.0
4,-3.679,0.0
5,-3.418,0.0
6,-5.782,0.0